Density functional theory data (GGA-PBE) for crystalline NiIrSe at its relaxed geometry.

The structure in POSCAR format:
```
NiIrSe
1.0
-1.576 -0.729 3.663
2.240 -1.824 2.844
1.293 2.100 3.218
Ir Ni Se
1 1 1
direct
0.000 0.000 0.000
0.500 0.500 0.500
0.750 0.750 0.750
```

Values from the calculation:
formation energy (no corrections) = 0.35 eV per atom
distance to the lowest polymorph of the same formula = 84 meV per atom
crystal system = cubic
E_tot = -0.4186 Ry per atom
D(E_F) = 3.8 states/eV/cell